# 1
VASP calculation (PBE) on a relaxed ErNi2B4 crystal. Values from VASP.

Results
The density of states at the Fermi level comes out at 2.32 states/eV per cell. As for the symmetry: Immm (71). For the total energy, the calculation gives -6.452 eV per atom. For the size of the total moment, the calculation gives 0.000 μB per atom. Its formation energy is -0.3330 eV/atom.

Structure (Quantum ESPRESSO input):
```
&SYSTEM
  ibrav = 0, nat = 7, ntyp = 3
/
ATOMIC_SPECIES
B 10.81 B.upf
Er 167.26 Er.upf
Ni 58.69 Ni.upf
CELL_PARAMETERS angstrom
3.030 0.000 -0.691
-0.171 3.216 -0.751
0.036 -0.029 7.147
ATOMIC_POSITIONS crystal
B 0.103 0.603 0.206
B 0.349 0.349 0.698
B 0.651 0.651 0.302
B 0.897 0.397 0.794
Er 0.500 0.000 0.000
Ni 0.197 0.197 0.394
Ni 0.803 0.803 0.606
```



# 2
VASP calculation (PBE) on a relaxed Pr4Bi2H9 crystal. Values from VASP.

Results
The density of states at the Fermi level comes out at 3.30 states/eV per cell. As for the symmetry: P-3m1 (164). For the total energy, the calculation gives -4.324 eV per atom. For the size of the total moment, the calculation gives 0.000 μB per atom.

Structure (Quantum ESPRESSO input):
```
&SYSTEM
  ibrav = 0, nat = 15, ntyp = 3
/
ATOMIC_SPECIES
Pr 140.91 Pr.upf
H 1.01 H.upf
Bi 208.98 Bi.upf
CELL_PARAMETERS angstrom
-3.844 0.301 -0.340
1.581 -3.312 1.229
-1.020 5.652 16.542
ATOMIC_POSITIONS crystal
Pr 0.333 0.667 0.410
Pr 0.667 0.333 0.590
Pr 0.667 0.333 0.904
Pr 0.333 0.667 0.096
H 0.333 0.667 0.959
H 0.667 0.333 0.452
H 0.000 0.000 0.500
H 0.000 0.000 0.913
H 0.667 0.333 0.041
H 0.000 0.000 0.626
H 0.000 0.000 0.374
H 0.333 0.667 0.548
H 0.000 0.000 0.087
Bi 0.667 0.333 0.246
Bi 0.333 0.667 0.754
```



# 3
VASP calculation (PBE) on a relaxed Pr2PaGa6 crystal. Values from VASP.

Results
The density of states at the Fermi level comes out at 4.27 states/eV per cell. As for the symmetry: P6/mmm (191). For the total energy, the calculation gives -4.697 eV per atom. For the size of the total moment, the calculation gives 0.016 μB per atom. Its formation energy is -0.5619 eV/atom.

Structure (Quantum ESPRESSO input):
```
&SYSTEM
  ibrav = 0, nat = 9, ntyp = 3
/
ATOMIC_SPECIES
Pa 231.04 Pa.upf
Ga 69.72 Ga.upf
Pr 140.91 Pr.upf
CELL_PARAMETERS angstrom
-1.446 3.674 1.410
-1.931 -3.209 6.381
6.743 2.949 -0.766
ATOMIC_POSITIONS crystal
Pa 0.000 0.000 0.000
Ga 0.500 0.670 0.670
Ga 0.500 0.000 0.670
Ga 0.500 0.000 0.330
Ga 0.500 0.330 0.000
Ga 0.500 0.670 0.000
Ga 0.500 0.330 0.330
Pr 0.000 0.667 0.333
Pr 0.000 0.333 0.667
```